No. 1
Material: LaPr2Nd2Y2
Method: DFT, PBE
State: relaxed

abc: 5.194 6.339 8.244
angles: 97.38 90.00 114.19
Sites, in units of the cell vectors:
Y: 0.715 0.429 0.143
Y: 0.285 0.571 0.857
La: 0.000 0.000 0.000
Nd: 0.857 0.714 0.570
Nd: 0.143 0.286 0.430
Pr: 0.572 0.144 0.716
Pr: 0.428 0.856 0.284

Calculated values
The space group is No. 12. For the density of states at the Fermi level, the calculation gives 1.584 states/eV/atom. The formation energy comes out at 0.017 eV/atom.

=====

No. 2
Material: CaPrSmMg
Method: DFT, PBE
State: relaxed

abc: 3.688 3.688 9.847
angles: 90.00 90.00 90.00
Sites, in units of the cell vectors:
Ca: 0.000 0.000 0.099
Pr: 0.500 0.500 0.805
Mg: 0.500 0.500 0.331
Sm: 0.000 0.000 0.551

Calculated values
The space group is No. 99. For the density of states at the Fermi level, the calculation gives 1.276 states/eV/atom. The formation energy comes out at -0.023 eV/atom.

=====

No. 3
Material: Y2Tm3Th
Method: DFT, PBE
State: relaxed

abc: 6.311 8.076 8.076
angles: 71.03 90.00 90.00
Sites, in units of the cell vectors:
Tm: 0.575 0.616 0.250
Tm: 0.075 0.750 0.384
Tm: 0.344 0.918 0.918
Tm: 0.075 0.384 0.750
Tm: 0.575 0.250 0.616
Tm: 0.844 0.082 0.082
Y: 0.549 0.508 0.870
Y: 0.049 0.492 0.130
Y: 0.549 0.870 0.508
Y: 0.049 0.130 0.492
Th: 0.365 0.171 0.171
Th: 0.865 0.829 0.829

Calculated values
The space group is No. 36. For the density of states at the Fermi level, the calculation gives 1.704 states/eV/atom. The formation energy comes out at 0.264 eV/atom.

=====

No. 4
Material: ScH3Pd3
Method: DFT, PBE
State: relaxed

abc: 5.453 5.453 7.031
angles: 67.18 67.18 60.00
Sites, in units of the cell vectors:
H: 0.489 0.973 0.307
H: 0.511 0.027 0.693
H: 0.027 0.770 0.693
H: 0.230 0.489 0.307
H: 0.770 0.511 0.693
H: 0.973 0.230 0.307
Sc: 0.683 0.683 0.952
Sc: 0.317 0.317 0.048
Pd: 0.233 0.831 0.301
Pd: 0.767 0.169 0.699
Pd: 0.169 0.365 0.699
Pd: 0.365 0.767 0.699
Pd: 0.635 0.233 0.301
Pd: 0.831 0.635 0.301

Calculated values
The space group is No. 148. For the density of states at the Fermi level, the calculation gives 0.196 states/eV/atom. For the uncorrected energy, the calculation gives -67.97 eV per cell.

=====

No. 5
Material: TlAg2SnCl6
Method: DFT, PBE
State: relaxed

abc: 7.538 9.078 9.078
angles: 91.80 85.77 85.77
Sites, in units of the cell vectors:
Cl: 0.144 0.287 0.450
Cl: 0.642 0.748 0.000
Cl: 0.856 0.713 0.550
Cl: 0.428 0.832 0.382
Cl: 0.356 0.550 0.713
Cl: 0.358 0.252 0.000
Cl: 0.142 0.000 0.748
Cl: 0.072 0.618 0.168
Cl: 0.572 0.168 0.618
Cl: 0.928 0.382 0.832
Cl: 0.644 0.450 0.287
Cl: 0.858 0.000 0.252
Ag: 0.184 0.759 0.571
Ag: 0.684 0.571 0.759
Ag: 0.816 0.241 0.429
Ag: 0.316 0.429 0.241
Tl: 0.250 0.910 0.090
Tl: 0.750 0.090 0.910
Sn: 0.750 0.726 0.274
Sn: 0.250 0.274 0.726

Calculated values
The space group is No. 15. For the density of states at the Fermi level, the calculation gives 0.434 states/eV/atom. As for the formation energy from raw total energies: -0.730 eV/atom.

=====

No. 6
Material: ScBeRe2
Method: DFT, PBE
State: relaxed

abc: 3.065 3.065 6.398
angles: 90.00 90.00 90.00
Sites, in units of the cell vectors:
Re: 0.000 0.000 0.979
Re: 0.500 0.500 0.214
Sc: 0.000 0.000 0.510
Be: 0.500 0.500 0.797

Calculated values
The space group is No. 99. For the density of states at the Fermi level, the calculation gives 0.472 states/eV/atom. The formation energy comes out at -0.153 eV/atom.